Density functional theory data (PBE-GGA) for crystalline Pm2NdEr3Se6 at its relaxed geometry.

Output
formation energy (no corrections) = -40.9 kcal/mol of atoms

Cell: 4.0738 8.3583 9.2755 Å, 104.79 102.69 90.00°
Closest atoms and distances in Å follow each position.
Fractional positions:
1 Er 0.8339 0.1670 0.6679  6 Se 2.85-2.86
2 Pm 0.1665 0.3328 0.3330  6 Se 2.97-2.98
3 Se 0.9968 0.2608 0.9937  3 Er 2.84-2.85, 1 Pm 2.97, 2 Nd 2.99
4 Se 0.0032 0.7392 0.0063  3 Er 2.84-2.85, 1 Pm 2.97, 2 Nd 2.99
5 Se 0.6634 0.5919 0.3268  3 Er 2.85-2.86, 3 Pm 2.98
6 Pm 0.8335 0.6672 0.6670  6 Se 2.97-2.98
7 Se 0.3290 0.9252 0.6580  3 Er 2.85, 2 Pm 2.98, 1 Nd 2.99
8 Nd 0.5000 0.0000 0.0000  6 Se 2.99
9 Se 0.6710 0.0748 0.3420  3 Er 2.85, 2 Pm 2.98, 1 Nd 2.99
10 Er 0.1661 0.8330 0.3321  6 Se 2.85-2.86
11 Er 0.5000 0.5000 0.0000  6 Se 2.84-2.85
12 Se 0.3366 0.4081 0.6732  3 Er 2.85-2.86, 3 Pm 2.98

***

Density functional theory data (PBE-GGA) for crystalline AcPmPrCd at its relaxed geometry.

Output
energy above the lowest structure with this stoichiometry = 55.1 kJ/mol of formula units
energy of formation from the pure elements = -0.005 eV/atom

Cell: 5.7667 5.7667 5.7667 Å, 60.00 60.00 60.00°
Closest atoms and distances in Å follow each position.
Fractional positions:
1 Pr 0.0000 0.0000 0.0000  4 Cd 3.53, 4 Pm 3.53
2 Pm 0.7500 0.7500 0.7500  4 Ac 3.53, 4 Pr 3.53
3 Ac 0.5000 0.5000 0.5000  4 Pm 3.53, 4 Cd 3.53
4 Cd 0.2500 0.2500 0.2500  4 Ac 3.53, 4 Pr 3.53

***

Density functional theory data (PBE-GGA) for crystalline Rb3PaAl2O8 at its relaxed geometry.

Output
formation energy (no corrections) = -55.2 kcal/mol of atoms

Cell: 5.9986 5.9986 8.1634 Å, 90.00 90.00 120.00°
Closest atoms and distances in Å follow each position.
Fractional positions:
1 Rb 0.3333 0.6667 0.7226  7 O 2.75-3.05
2 Pa 0.0000 0.0000 0.5000  6 O 2.18
3 Al 0.3333 0.6667 0.2774  4 O 1.77-1.78
4 O 0.6667 0.3333 0.9405  1 Al 1.78
5 Rb 0.0000 0.0000 0.0000  12 O 3.32-3.50
6 O 0.6584 0.8292 0.3438  1 Al 1.77
7 O 0.8292 0.1708 0.6562  1 Al 1.77
8 O 0.1708 0.8292 0.3438  1 Al 1.77
9 O 0.8292 0.6584 0.6562  1 Al 1.77
10 O 0.3416 0.1708 0.6562  1 Al 1.77
11 O 0.1708 0.3416 0.3438  1 Al 1.77
12 O 0.3333 0.6667 0.0595  1 Al 1.78
13 Al 0.6667 0.3333 0.7226  4 O 1.77-1.78
14 Rb 0.6667 0.3333 0.2774  7 O 2.75-3.05

***

Density functional theory data (PBE-GGA) for crystalline SrCuSiPt6 at its relaxed geometry.

Output
formation energy (no corrections) = -4.8 kcal/mol of atoms

Cell: 5.6402 9.3889 8.4535 Å, 123.73 109.49 90.00°
Closest atoms and distances in Å follow each position.
Fractional positions:
1 Pt 0.5736 0.3236 0.1472  2 Si 2.53
2 Sr 0.8252 0.5752 0.6504  7 Pt 2.95-3.24
3 Pt 0.6092 0.8808 0.7187  1 Si 2.30, 1 Cu 2.57
4 Pt 0.8905 0.6621 0.2813  1 Si 2.30, 1 Cu 2.57
5 Pt 0.6092 0.3379 0.7187  1 Si 2.30, 1 Cu 2.57
6 Pt 0.9172 0.1672 0.8344  2 Cu 2.57, 4 Pt 2.67
7 Pt 0.8905 0.1192 0.2813  1 Si 2.30, 1 Cu 2.57
8 Cu 0.0000 0.0000 0.5000  6 Pt 2.57, 2 Cu 2.82
9 Cu 0.5000 0.0000 0.5000  6 Pt 2.57, 2 Cu 2.82
10 Si 0.5000 0.5000 0.0000  6 Pt 2.30-2.53
11 Pt 0.3908 0.1192 0.2813  1 Si 2.30, 1 Cu 2.57
12 Pt 0.4264 0.6764 0.8528  2 Si 2.53
13 Pt 0.1095 0.8808 0.7187  1 Si 2.30, 1 Cu 2.57
14 Pt 0.0828 0.8328 0.1656  2 Cu 2.57, 4 Pt 2.67
15 Pt 0.3908 0.6621 0.2813  1 Si 2.30, 1 Cu 2.57
16 Si 0.5000 0.0000 0.0000  6 Pt 2.30-2.53
17 Sr 0.1748 0.4248 0.3496  7 Pt 2.95-3.24
18 Pt 0.1095 0.3379 0.7187  1 Si 2.30, 1 Cu 2.57

***

| no. | energy (eV per atom) |
| --- | --- |
| 1 | -5.84 |
| 2 | -3.64 |
| 3 | -6.65 |
| 4 | -5.48 |